Record 1
Density functional theory data (PBE) for crystalline BaMgCdGe2 at its relaxed geometry.

- space-group type = I-4m2, No. 119
- ΔH_f (0 K) (eV per atom) = -0.426
- total moment (μB/atom) = 0.000

Structure (POSCAR):
```
BaMgCdGe2
1.0
4.693 0.000 0.000
0.000 4.693 0.000
0.000 0.000 11.542
Ba Mg Cd Ge
2 2 2 4
direct
0.000 0.000 0.000 Ba
0.500 0.500 0.500 Ba
0.000 0.500 0.250 Mg
0.500 0.000 0.750 Mg
0.000 0.500 0.750 Cd
0.500 0.000 0.250 Cd
0.000 0.000 0.387 Ge
0.000 0.000 0.613 Ge
0.500 0.500 0.113 Ge
0.500 0.500 0.887 Ge
```

---

Record 2
Density functional theory data (PBE) for crystalline Ba2Mg3CdGe4 at its relaxed geometry.

- space-group type = P-4m2, No. 115
- ΔH_f (0 K) (eV per atom) = -0.424
- total moment (μB/atom) = 0.000

Structure (POSCAR):
```
Ba2Mg3CdGe4
1.0
4.667 0.000 0.000
0.000 4.667 0.000
0.000 0.000 11.588
Ba Mg Cd Ge
2 3 1 4
direct
0.000 0.500 0.248 Ba
0.500 0.000 0.752 Ba
0.000 0.500 0.871 Mg
0.500 0.000 0.129 Mg
0.500 0.500 0.500 Mg
0.000 0.000 0.500 Cd
0.000 0.000 0.000 Ge
0.000 0.500 0.638 Ge
0.500 0.000 0.362 Ge
0.500 0.500 0.000 Ge
```

---

Record 3
Density functional theory data (PBE) for crystalline Ba2MgCd4Ge3 at its relaxed geometry.

- space-group type = P-4m2, No. 115
- ΔH_f (0 K) (eV per atom) = -0.326
- total moment (μB/atom) = 0.000

Structure (POSCAR):
```
Ba2MgCd4Ge3
1.0
4.675 0.000 0.000
0.000 4.675 0.000
0.000 0.000 12.101
Ba Mg Cd Ge
2 1 4 3
direct
0.000 0.500 0.238 Ba
0.500 0.000 0.762 Ba
0.000 0.000 0.500 Mg
0.000 0.000 0.000 Cd
0.000 0.500 0.637 Cd
0.500 0.000 0.363 Cd
0.500 0.500 0.000 Cd
0.000 0.500 0.865 Ge
0.500 0.000 0.135 Ge
0.500 0.500 0.500 Ge
```

---

Record 4
Density functional theory data (PBE) for crystalline Ba2MgCd3Ge4 at its relaxed geometry.

- space-group type = P-4m2, No. 115
- ΔH_f (0 K) (eV per atom) = -0.370
- total moment (μB/atom) = 0.000

Structure (POSCAR):
```
Ba2MgCd3Ge4
1.0
4.707 0.000 0.000
0.000 4.707 0.000
0.000 0.000 11.638
Ba Mg Cd Ge
2 1 3 4
direct
0.000 0.500 0.248 Ba
0.500 0.000 0.752 Ba
0.000 0.000 0.500 Mg
0.000 0.500 0.868 Cd
0.500 0.000 0.132 Cd
0.500 0.500 0.500 Cd
0.000 0.000 0.000 Ge
0.000 0.500 0.634 Ge
0.500 0.000 0.366 Ge
0.500 0.500 0.000 Ge
```

---

Record 5
Density functional theory data (PBE) for crystalline Ba2Mg4CdGe3 at its relaxed geometry.

- space-group type = P-4m2, No. 115
- ΔH_f (0 K) (eV per atom) = -0.396
- total moment (μB/atom) = 0.000

Structure (POSCAR):
```
Ba2Mg4CdGe3
1.0
4.706 0.000 0.000
0.000 4.706 0.000
0.000 0.000 11.747
Ba Mg Cd Ge
2 4 1 3
direct
0.000 0.500 0.243 Ba
0.500 0.000 0.757 Ba
0.000 0.000 0.000 Mg
0.000 0.500 0.636 Mg
0.500 0.000 0.364 Mg
0.500 0.500 0.000 Mg
0.000 0.000 0.500 Cd
0.000 0.500 0.868 Ge
0.500 0.000 0.132 Ge
0.500 0.500 0.500 Ge
```

---

Record 6
Density functional theory data (PBE) for crystalline BaMgCd2Ge at its relaxed geometry.

- space-group type = Imm2, No. 44
- ΔH_f (0 K) (eV per atom) = -0.369
- total moment (μB/atom) = 0.000

Structure (POSCAR):
```
BaMgCd2Ge
1.0
4.644 0.000 0.000
0.000 4.663 0.000
0.000 0.000 12.481
Ba Mg Cd Ge
2 2 4 2
direct
0.000 0.000 0.000 Ba
0.500 0.500 0.500 Ba
0.000 0.500 0.768 Mg
0.500 0.000 0.268 Mg
0.000 0.000 0.619 Cd
0.000 0.500 0.263 Cd
0.500 0.000 0.763 Cd
0.500 0.500 0.119 Cd
0.000 0.000 0.396 Ge
0.500 0.500 0.896 Ge
```

---

Record 7
Density functional theory data (PBE) for crystalline BaMnCdGe2 at its relaxed geometry.

- space-group type = P4/mmm, No. 123
- ΔH_f (0 K) (eV per atom) = -0.179
- total moment (μB/atom) = 0.022

Structure (POSCAR):
```
BaMnCdGe2
1.0
4.704 0.000 0.000
0.000 4.704 0.000
0.000 0.000 5.164
Ba Mn Cd Ge
1 1 1 2
direct
0.000 0.000 0.000 Ba
0.500 0.500 0.500 Mn
0.500 0.500 0.000 Cd
0.000 0.500 0.500 Ge
0.500 0.000 0.500 Ge
```

---

Record 8
Density functional theory data (PBE) for crystalline BaNa2Cd2Ge2 at its relaxed geometry.

- space-group type = R-3m, No. 166
- ΔH_f (0 K) (eV per atom) = -0.301
- total moment (μB/atom) = 0.000

Structure (POSCAR):
```
BaNa2Cd2Ge2
1.0
2.387 1.378 9.544
-2.387 1.378 9.544
0.000 -2.757 9.544
Ba Na Cd Ge
1 2 2 2
direct
0.000 0.000 0.000 Ba
0.140 0.140 0.140 Na
0.860 0.860 0.860 Na
0.421 0.421 0.421 Cd
0.579 0.579 0.579 Cd
0.254 0.254 0.254 Ge
0.746 0.746 0.746 Ge
```

---

Record 9
Density functional theory data (PBE) for crystalline BaNaCdGe at its relaxed geometry.

- space-group type = F-43m, No. 216
- ΔH_f (0 K) (eV per atom) = -0.191
- total moment (μB/atom) = 0.000

Structure (POSCAR):
```
BaNaCdGe
1.0
7.837 0.000 0.000
0.000 7.837 0.000
0.000 0.000 7.837
Ba Na Cd Ge
4 4 4 4
direct
0.000 0.000 0.000 Ba
0.000 0.500 0.500 Ba
0.500 0.000 0.500 Ba
0.500 0.500 0.000 Ba
0.000 0.000 0.500 Na
0.000 0.500 0.000 Na
0.500 0.000 0.000 Na
0.500 0.500 0.500 Na
0.250 0.250 0.250 Cd
0.250 0.750 0.750 Cd
0.750 0.250 0.750 Cd
0.750 0.750 0.250 Cd
0.250 0.250 0.750 Ge
0.250 0.750 0.250 Ge
0.750 0.250 0.250 Ge
0.750 0.750 0.750 Ge
```

---

Record 10
Density functional theory data (PBE) for crystalline Ba2NaCd4Ge3 at its relaxed geometry.

- space-group type = P-4m2, No. 115
- ΔH_f (0 K) (eV per atom) = -0.294
- total moment (μB/atom) = 0.000

Structure (POSCAR):
```
Ba2NaCd4Ge3
1.0
4.766 0.000 0.000
0.000 4.766 0.000
0.000 0.000 11.868
Ba Na Cd Ge
2 1 4 3
direct
0.000 0.500 0.238 Ba
0.500 0.000 0.762 Ba
0.000 0.000 0.500 Na
0.000 0.000 0.000 Cd
0.000 0.500 0.634 Cd
0.500 0.000 0.366 Cd
0.500 0.500 0.000 Cd
0.000 0.500 0.865 Ge
0.500 0.000 0.135 Ge
0.500 0.500 0.500 Ge
```

---

Record 11
Density functional theory data (PBE) for crystalline Ba2CdNiGe at its relaxed geometry.

- space-group type = P4/mmm, No. 123
- ΔH_f (0 K) (eV per atom) = -0.283
- total moment (μB/atom) = 0.000

Structure (POSCAR):
```
Ba2CdNiGe
1.0
6.073 0.000 0.000
0.000 6.073 0.000
0.000 0.000 4.514
Ba Cd Ni Ge
2 1 1 1
direct
0.000 0.500 0.000 Ba
0.500 0.000 0.000 Ba
0.000 0.000 0.500 Cd
0.500 0.500 0.000 Ni
0.500 0.500 0.500 Ge
```

---

Record 12
Density functional theory data (PBE) for crystalline Ba2CdGe2O6 at its relaxed geometry.

- space-group type = R-3m, No. 166
- total moment (μB/atom) = 0.000

Structure (POSCAR):
```
Ba2CdGe2O6
1.0
2.989 1.726 6.269
-2.989 1.726 6.269
0.000 -3.452 6.269
Ba Cd Ge O
2 1 2 6
direct
0.218 0.218 0.218 Ba
0.782 0.782 0.782 Ba
0.000 0.000 0.000 Cd
0.438 0.438 0.438 Ge
0.562 0.562 0.562 Ge
0.248 0.248 0.752 O
0.248 0.752 0.248 O
0.248 0.752 0.752 O
0.752 0.248 0.248 O
0.752 0.248 0.752 O
0.752 0.752 0.248 O
```

---

Record 13
Density functional theory data (PBE) for crystalline BaCd2GeO4 at its relaxed geometry.

- space-group type = I-42m, No. 121
- total moment (μB/atom) = 0.000

Structure (POSCAR):
```
BaCd2GeO4
1.0
5.460 0.000 0.000
0.000 5.460 0.000
0.000 0.000 10.137
Ba Cd Ge O
2 4 2 8
direct
0.000 0.000 0.000 Ba
0.500 0.500 0.500 Ba
0.000 0.500 0.250 Cd
0.000 0.500 0.750 Cd
0.500 0.000 0.250 Cd
0.500 0.000 0.750 Cd
0.000 0.000 0.500 Ge
0.500 0.500 0.000 Ge
0.188 0.188 0.607 O
0.188 0.812 0.393 O
0.312 0.312 0.107 O
0.312 0.688 0.893 O
0.688 0.312 0.893 O
0.688 0.688 0.107 O
0.812 0.188 0.393 O
0.812 0.812 0.607 O
```

---

For the records above, the corresponding electronic total energy values read -3.159 -3.226 -2.621 -3.036 -2.895 -2.362 -4.428 -2.533 -2.384 -2.562 -3.315 -5.826 -4.934 eV/atom.